a | A relaxed structure of NaYPb, computed with PBE.

POSCAR file:
```
NaYPb
1.0
9.1762 -2.2196 0.0000
9.1762 2.2196 0.0000
-1.0797 0.0000 4.3410
Na Y Pb
2 2 2
direct
0.0000 0.0000 0.0000 Na
0.5000 0.5000 0.5000 Na
0.1800 0.1800 0.6796 Y
0.8200 0.8200 0.3204 Y
0.3583 0.3583 0.8583 Pb
0.6417 0.6417 0.1417 Pb
```

Values from the calculation:
The space group is C2/m, No. 12. The density of states at the Fermi level is 0.58 states/eV per atom.

---

b | A relaxed structure of NaYPb, computed with PBE.

POSCAR file:
```
NaYPb
1.0
5.2607 0.0000 0.0000
-2.6303 4.5559 0.0000
0.0000 0.0000 7.0849
Na Y Pb
2 2 2
direct
0.0000 0.0000 0.0000 Na
0.3333 0.6667 0.8313 Na
0.3333 0.6667 0.3042 Y
0.6667 0.3333 0.6161 Y
0.0000 0.0000 0.5287 Pb
0.6667 0.3333 0.1027 Pb
```

Values from the calculation:
The space group is P3m1, No. 156. The density of states at the Fermi level is 0.12 states/eV per atom.

---

c | A relaxed structure of NaYPb, computed with PBE.

POSCAR file:
```
NaYPb
1.0
3.5141 0.0000 0.0000
0.0000 4.5888 0.0000
0.0000 0.0000 11.0987
Na Y Pb
2 2 2
direct
0.0000 0.0000 0.0000 Na
0.5000 0.5000 0.1669 Na
0.5000 0.5000 0.4838 Y
0.5000 0.5000 0.7971 Y
0.0000 0.0000 0.3383 Pb
0.0000 0.0000 0.6560 Pb
```

Values from the calculation:
The space group is Pmm2, No. 25. The density of states at the Fermi level is 0.56 states/eV per atom.

---

Quick look at relative energies in meV per atom: a 0; b 18; c 101.

---

a | A relaxed structure of Na2YPb2, computed with PBE.

POSCAR file:
```
Na2YPb2
1.0
8.5751 0.0000 0.0000
0.0000 8.5751 0.0000
0.0000 0.0000 4.0343
Na Y Pb
4 2 4
direct
0.1597 0.3403 0.0000 Na
0.3403 0.8403 0.0000 Na
0.6597 0.1597 0.0000 Na
0.8403 0.6597 0.0000 Na
0.0000 0.0000 0.5000 Y
0.5000 0.5000 0.5000 Y
0.1376 0.6376 0.5000 Pb
0.3624 0.1376 0.5000 Pb
0.6376 0.8624 0.5000 Pb
0.8624 0.3624 0.5000 Pb
```

Values from the calculation:
The space group is P4/mbm, No. 127. The density of states at the Fermi level is 0.43 states/eV per atom.

---

b | A relaxed structure of Na2YPb2, computed with PBE.

POSCAR file:
```
Na2YPb2
1.0
9.1401 0.0000 0.0000
0.0000 9.1401 0.0000
0.0000 0.0000 3.3378
Na Y Pb
4 2 4
direct
0.1133 0.3867 0.0000 Na
0.3867 0.8867 0.0000 Na
0.6133 0.1133 0.0000 Na
0.8867 0.6133 0.0000 Na
0.0000 0.0000 0.0000 Y
0.5000 0.5000 0.0000 Y
0.1854 0.6854 0.5000 Pb
0.3146 0.1854 0.5000 Pb
0.6854 0.8146 0.5000 Pb
0.8146 0.3146 0.5000 Pb
```

Values from the calculation:
The space group is P4/mbm, No. 127. The density of states at the Fermi level is 0.44 states/eV per atom.

---

c | A relaxed structure of Na2YPb2, computed with PBE.

POSCAR file:
```
Na2YPb2
1.0
-2.2032 2.2032 7.5800
2.2032 -2.2032 7.5800
2.2032 2.2032 -7.5800
Na Y Pb
2 1 2
direct
0.2500 0.7500 0.5000 Na
0.7500 0.2500 0.5000 Na
0.0000 0.0000 0.0000 Y
0.4026 0.4026 0.0000 Pb
0.5974 0.5974 0.0000 Pb
```

Values from the calculation:
The space group is I4/mmm, No. 139. The density of states at the Fermi level is 0.49 states/eV per atom.

---

Quick look at relative energies in meV per atom: a 64; b 46; c 0.

---

a | A relaxed structure of NaYPb3, computed with PBE.

POSCAR file:
```
NaYPb3
1.0
6.4988 0.0000 0.0000
0.0000 14.1499 0.0000
-0.0196 0.0000 6.4003
Na Y Pb
4 4 12
direct
0.0000 0.1021 0.2500 Na
0.0000 0.8979 0.7500 Na
0.5000 0.1019 0.2500 Na
0.5000 0.8981 0.7500 Na
0.2502 0.3158 0.5023 Y
0.2502 0.6842 0.0023 Y
0.7498 0.3158 0.9977 Y
0.7498 0.6842 0.4977 Y
0.0000 0.4949 0.7500 Pb
0.0000 0.5051 0.2500 Pb
0.2500 0.1057 0.7113 Pb
0.2499 0.2891 0.0102 Pb
0.2499 0.7109 0.5102 Pb
0.2500 0.8943 0.2113 Pb
0.5000 0.4957 0.7500 Pb
0.5000 0.5043 0.2500 Pb
0.7500 0.1057 0.7887 Pb
0.7501 0.2891 0.4898 Pb
0.7501 0.7109 0.9898 Pb
0.7500 0.8943 0.2887 Pb
```

Values from the calculation:
The space group is P2/c, No. 13. The density of states at the Fermi level is 0.45 states/eV per atom.

---

b | A relaxed structure of NaYPb3, computed with PBE.

POSCAR file:
```
NaYPb3
1.0
5.9255 0.0000 0.0000
0.0000 5.9255 0.0000
0.0000 0.0000 5.9255
Na Y Pb
1 1 3
direct
0.0000 0.0000 0.0000 Na
0.5000 0.5000 0.5000 Y
0.0000 0.5000 0.5000 Pb
0.5000 0.0000 0.5000 Pb
0.5000 0.5000 0.0000 Pb
```

Values from the calculation:
The space group is Pm-3m, No. 221. The density of states at the Fermi level is 0.74 states/eV per atom.

---

Quick look at relative energies in meV per atom: a 0; b 432.